#a
Here is a relaxed Co2SbHPt crystal from the Alexandria database. Energies are from PBE-GGA. Values from VASP.

The structure in Quantum ESPRESSO input format:
```
&SYSTEM
  ibrav = 0, nat = 5, ntyp = 4
/
ATOMIC_SPECIES
Sb 121.76 Sb.upf
Co 58.93 Co.upf
Pt 195.08 Pt.upf
H 1.01 H.upf
CELL_PARAMETERS angstrom
-0.936 -2.073 -3.032
2.639 -3.143 1.334
-2.849 -1.565 1.949
ATOMIC_POSITIONS crystal
Sb 0.000 0.500 0.000
Co 0.000 0.000 0.500
Co 0.500 0.000 0.000
Pt 0.500 0.500 0.500
H 0.000 0.000 0.000
```

**Space-group type**: P4/mmm (123)
**Calculated volume**: 62.0 Å³/f.u.

=====

#b
Here is a relaxed Co2SbHPt crystal from the Alexandria database. Energies are from PBE-GGA. Values from VASP.

The structure in Quantum ESPRESSO input format:
```
&SYSTEM
  ibrav = 0, nat = 5, ntyp = 4
/
ATOMIC_SPECIES
Sb 121.76 Sb.upf
Co 58.93 Co.upf
Pt 195.08 Pt.upf
H 1.01 H.upf
CELL_PARAMETERS angstrom
-0.186 -0.075 -3.944
0.604 -3.902 0.046
-3.757 -0.579 0.188
ATOMIC_POSITIONS crystal
Sb 0.500 0.500 0.500
Co 0.000 0.500 0.000
Co 0.500 0.000 0.000
Pt 0.000 0.000 0.500
H 0.000 0.000 0.000
```

**Space-group type**: P4/mmm (123)
**Calculated volume**: 59.4 Å³/f.u.

=====

Stability, highest: #b

=====

#a
Here is a relaxed Ta2CoHPt crystal from the Alexandria database. Energies are from PBE-GGA. Values from VASP.

The structure in Quantum ESPRESSO input format:
```
&SYSTEM
  ibrav = 0, nat = 5, ntyp = 4
/
ATOMIC_SPECIES
H 1.01 H.upf
Co 58.93 Co.upf
Pt 195.08 Pt.upf
Ta 180.95 Ta.upf
CELL_PARAMETERS angstrom
-0.476 1.932 -3.510
3.280 -1.842 -1.459
-2.258 -2.969 -1.328
ATOMIC_POSITIONS crystal
H 0.000 0.000 0.000
Co 0.500 0.500 0.500
Pt 0.000 0.000 0.500
Ta 0.000 0.500 0.000
Ta 0.500 0.000 0.000
```

**Space-group type**: P4/mmm (123)
**Calculated volume**: 64.5 Å³/f.u.

=====

#b
Here is a relaxed Ta2CoHPt crystal from the Alexandria database. Energies are from PBE-GGA. Values from VASP.

The structure in Quantum ESPRESSO input format:
```
&SYSTEM
  ibrav = 0, nat = 5, ntyp = 4
/
ATOMIC_SPECIES
H 1.01 H.upf
Co 58.93 Co.upf
Pt 195.08 Pt.upf
Ta 180.95 Ta.upf
CELL_PARAMETERS angstrom
-2.317 2.766 -1.798
-2.953 -2.719 -0.377
-1.427 1.067 3.480
ATOMIC_POSITIONS crystal
H 0.000 0.000 0.000
Co 0.000 0.000 0.500
Pt 0.500 0.500 0.500
Ta 0.000 0.500 0.000
Ta 0.500 0.000 0.000
```

**Space-group type**: P4/mmm (123)
**Calculated volume**: 63.5 Å³/f.u.

=====

Stability, highest: #b

=====

#a
Here is a relaxed TaCo2HPt crystal from the Alexandria database. Energies are from PBE-GGA. Values from VASP.

The structure in Quantum ESPRESSO input format:
```
&SYSTEM
  ibrav = 0, nat = 5, ntyp = 4
/
ATOMIC_SPECIES
H 1.01 H.upf
Co 58.93 Co.upf
Pt 195.08 Pt.upf
Ta 180.95 Ta.upf
CELL_PARAMETERS angstrom
-1.104 -3.532 1.109
1.681 -1.510 -3.134
3.188 -0.399 1.903
ATOMIC_POSITIONS crystal
H 0.000 0.000 0.000
Co 0.000 0.500 0.000
Co 0.500 0.000 0.000
Pt 0.000 0.000 0.500
Ta 0.500 0.500 0.500
```

**Space-group type**: P4/mmm (123)
**Calculated volume**: 55.7 Å³/f.u.

=====

#b
Here is a relaxed TaCo2HPt crystal from the Alexandria database. Energies are from PBE-GGA. Values from VASP.

The structure in Quantum ESPRESSO input format:
```
&SYSTEM
  ibrav = 0, nat = 5, ntyp = 4
/
ATOMIC_SPECIES
H 1.01 H.upf
Co 58.93 Co.upf
Pt 195.08 Pt.upf
Ta 180.95 Ta.upf
CELL_PARAMETERS angstrom
3.788 0.000 0.000
0.000 3.788 0.000
0.000 0.000 3.896
ATOMIC_POSITIONS crystal
H 0.000 0.000 0.000
Co 0.000 0.500 0.000
Co 0.500 0.000 0.000
Pt 0.500 0.500 0.500
Ta 0.000 0.000 0.500
```

**Space-group type**: P4/mmm (123)
**Calculated volume**: 55.9 Å³/f.u.

=====

Stability, highest: #b

=====

#a
Here is a relaxed Ti2CoHPt crystal from the Alexandria database. Energies are from PBE-GGA. Values from VASP.

The structure in Quantum ESPRESSO input format:
```
&SYSTEM
  ibrav = 0, nat = 5, ntyp = 4
/
ATOMIC_SPECIES
H 1.01 H.upf
Co 58.93 Co.upf
Pt 195.08 Pt.upf
Ti 47.87 Ti.upf
CELL_PARAMETERS angstrom
3.970 0.000 0.000
0.000 3.970 0.000
0.000 0.000 3.809
ATOMIC_POSITIONS crystal
H 0.000 0.000 0.000
Co 0.500 0.500 0.500
Pt 0.000 0.000 0.500
Ti 0.000 0.500 0.000
Ti 0.500 0.000 0.000
```

**Space-group type**: P4/mmm (123)
**Calculated volume**: 60.1 Å³/f.u.

=====

#b
Here is a relaxed Ti2CoHPt crystal from the Alexandria database. Energies are from PBE-GGA. Values from VASP.

The structure in Quantum ESPRESSO input format:
```
&SYSTEM
  ibrav = 0, nat = 5, ntyp = 4
/
ATOMIC_SPECIES
H 1.01 H.upf
Co 58.93 Co.upf
Pt 195.08 Pt.upf
Ti 47.87 Ti.upf
CELL_PARAMETERS angstrom
4.003 0.000 0.000
0.000 4.003 0.000
0.000 0.000 3.681
ATOMIC_POSITIONS crystal
H 0.000 0.000 0.000
Co 0.000 0.000 0.500
Pt 0.500 0.500 0.500
Ti 0.000 0.500 0.000
Ti 0.500 0.000 0.000
```

**Space-group type**: P4/mmm (123)
**Calculated volume**: 59.0 Å³/f.u.

=====

Stability, highest: #b